[1]
Here is TbEr2Cu4Ge4 after structural relaxation from OQMD via LeMat-Bulk. Energies are from GGA-PBE.

Output
Space group = No. 71
Total energy = -54.1 eV for the cell shown

Lattice parameters (Å, degrees): 7.979 7.979 7.979 149.69 130.56 59.10
Sites, in units of the cell vectors:
1 Ge 0.690 0.500 0.190
2 Cu 0.021 0.330 0.691
3 Ge 0.782 0.782 0.000
4 Cu 0.979 0.670 0.309
5 Cu 0.361 0.670 0.691
6 Ge 0.310 0.500 0.810
7 Er 0.370 0.870 0.500
8 Er 0.630 0.130 0.500
9 Cu 0.639 0.330 0.309
10 Tb 0.000 0.000 0.000
11 Ge 0.218 0.218 0.000

---

[2]
Here is ErCuGeTe3 after structural relaxation from OQMD via LeMat-Bulk. Energies are from GGA-PBE.

Output
Space group = No. 62
Total energy = -101.2 eV for the cell shown

Lattice parameters (Å, degrees): 4.263 12.054 12.130 90.00 90.00 90.00
Sites, in units of the cell vectors:
1 Te 0.750 0.791 0.824
2 Ge 0.250 0.815 0.020
3 Te 0.250 0.538 0.623
4 Te 0.750 0.962 0.123
5 Er 0.250 0.970 0.311
6 Cu 0.750 0.266 0.290
7 Te 0.250 0.395 0.937
8 Te 0.750 0.105 0.437
9 Ge 0.750 0.185 0.980
10 Er 0.750 0.030 0.689
11 Er 0.750 0.530 0.811
12 Te 0.750 0.462 0.377
13 Te 0.250 0.038 0.877
14 Te 0.250 0.895 0.563
15 Te 0.250 0.209 0.176
16 Cu 0.250 0.234 0.790
17 Te 0.250 0.709 0.324
18 Cu 0.250 0.734 0.710
19 Ge 0.250 0.315 0.480
20 Te 0.750 0.291 0.676
21 Cu 0.750 0.766 0.210
22 Ge 0.750 0.685 0.520
23 Er 0.250 0.470 0.189
24 Te 0.750 0.605 0.063

---

The evaluated ρ for the records listed, in turn: 8.92, 7.31 g/cm³.